Entry from Alexandria via LeMat-Bulk: a relaxed Au2I8Br crystal (GGA-PBE).

Summary:
D(E_F): 10.31 states/eV/cell

Unit cell a=11.4060 b=11.4060 c=5.8196 alpha=90.11 beta=90.11 gamma=138.09
Last column: nearest neighbours and their distance in Å.
Fractional coordinates of all 11 atoms:
Au  0.2437  0.7563  0.0000  6 I 2.81-2.92
Au  0.7563  0.2437  0.0000  6 I 2.81-2.92
I  0.1045  0.4222  0.0020  2 Au 2.81-2.84
I  0.1622  0.1622  0.4189  1 Br 2.79, 1 I 2.82
I  0.2320  0.7680  0.5000  2 Au 2.92
I  0.4222  0.1045  0.0020  2 Au 2.81-2.84
I  0.5778  0.8955  0.9980  2 Au 2.81-2.84
I  0.7680  0.2320  0.5000  2 Au 2.92
I  0.8378  0.8378  0.5811  1 Br 2.79, 1 I 2.82
I  0.8955  0.5778  0.9980  2 Au 2.81-2.84
Br  0.5000  0.5000  0.5000  2 I 2.79

Entry from Alexandria via LeMat-Bulk: a relaxed AuIBr3 crystal (GGA-PBE).

Summary:
Offset from the most stable computed form: 0.011 eV per atom
D(E_F): 7.92 states/eV/cell

Unit cell a=9.7235 b=8.6508 c=11.3953 alpha=90.00 beta=121.72 gamma=90.00
Last column: nearest neighbours and their distance in Å.
Fractional coordinates of all 20 atoms:
Au  0.1147  0.1690  0.1220  3 Br 2.46-2.59, 1 I 2.68
Au  0.1147  0.3310  0.6220  3 Br 2.46-2.59, 1 I 2.68
Au  0.8853  0.6690  0.3780  3 Br 2.46-2.59, 1 I 2.68
Au  0.8853  0.8310  0.8780  3 Br 2.46-2.59, 1 I 2.68
I  0.4257  0.2486  0.7811  1 Au 2.68, 2 Br 2.85-2.87
I  0.4257  0.2514  0.2811  1 Au 2.68, 2 Br 2.85-2.87
I  0.5743  0.7486  0.7189  1 Au 2.68, 2 Br 2.85-2.87
I  0.5743  0.7514  0.2189  1 Au 2.68, 2 Br 2.85-2.87
Br  0.0184  0.0944  0.6753  1 Au 2.46
Br  0.0184  0.4056  0.1753  1 Au 2.46
Br  0.1808  0.5884  0.5552  2 Au 2.54-2.59
Br  0.1808  0.9116  0.0552  2 Au 2.54-2.59
Br  0.4479  0.2368  0.5401  2 I 2.85-2.87
Br  0.4479  0.2632  0.0401  2 I 2.85-2.87
Br  0.5521  0.7368  0.9599  2 I 2.85-2.87
Br  0.5521  0.7632  0.4599  2 I 2.85-2.87
Br  0.8192  0.0884  0.9448  2 Au 2.54-2.59
Br  0.8192  0.4116  0.4448  2 Au 2.54-2.59
Br  0.9816  0.5944  0.8247  1 Au 2.46
Br  0.9816  0.9056  0.3247  1 Au 2.46

Entry from Alexandria via LeMat-Bulk: a relaxed AuI2Br3 crystal (GGA-PBE).

Summary:
D(E_F): 9.36 states/eV/cell

Unit cell a=9.5827 b=9.5827 c=9.6195 alpha=96.20 beta=96.20 gamma=141.37
Last column: nearest neighbours and their distance in Å.
Fractional coordinates of all 12 atoms:
Au  0.1250  0.8750  0.7500  2 I 2.59
Au  0.8750  0.1250  0.2500  2 I 2.59
I  0.0161  0.2662  0.5345  1 Au 2.59
I  0.2662  0.0161  0.0345  1 Au 2.59
I  0.7338  0.9839  0.9655  1 Au 2.59
I  0.9839  0.7338  0.4655  1 Au 2.59
Br  0.2345  0.4845  0.9667  1 Br 2.58
Br  0.3751  0.6249  0.2500  2 Br 2.58
Br  0.4845  0.2345  0.4667  1 Br 2.58
Br  0.5155  0.7655  0.5333  1 Br 2.58
Br  0.6249  0.3751  0.7500  2 Br 2.58
Br  0.7655  0.5155  0.0333  1 Br 2.58

Entry from Alexandria via LeMat-Bulk: a relaxed Au2I3Br2 crystal (GGA-PBE).

Summary:
D(E_F): 3.30 states/eV/cell

Unit cell a=4.0532 b=6.3838 c=10.0601 alpha=97.44 beta=90.87 gamma=92.38
Last column: nearest neighbours and their distance in Å.
Fractional coordinates of all 7 atoms:
Au  0.0148  0.1229  0.3106  1 Br 2.67, 3 I 2.73-2.92
Au  0.9852  0.8771  0.6894  1 Br 2.67, 3 I 2.73-2.92
I  0.4699  0.6234  0.7562  2 Au 2.73-2.74
I  0.5000  0.0000  0.5000  4 Au 2.92-2.99
I  0.5301  0.3766  0.2438  2 Au 2.73-2.74
Br  0.0109  0.2579  0.8355  1 Au 2.67
Br  0.9891  0.7421  0.1645  1 Au 2.67

Entry from Alexandria via LeMat-Bulk: a relaxed Au3IBr crystal (GGA-PBE).

Summary:
Offset from the most stable computed form: 0.032 eV per atom
D(E_F): 3.63 states/eV/cell

Unit cell a=5.2348 b=5.2348 c=5.2348 alpha=90.00 beta=90.00 gamma=90.00
Last column: nearest neighbours and their distance in Å.
Fractional coordinates of all 5 atoms:
Au  0.0000  0.0000  0.5000  2 Br 2.62
Au  0.0000  0.5000  0.0000  2 Br 2.62
Au  0.5000  0.0000  0.0000  2 Br 2.62
I  0.5000  0.5000  0.5000  12 Au 3.70
Br  0.0000  0.0000  0.0000  6 Au 2.62

Entry from Alexandria via LeMat-Bulk: a relaxed AuIBr3 crystal (GGA-PBE).

Summary:
Offset from the most stable computed form: 0.000 eV per atom

Unit cell a=5.7901 b=8.1283 c=11.2292 alpha=72.60 beta=75.27 gamma=79.73
Last column: nearest neighbours and their distance in Å.
Fractional coordinates of all 10 atoms:
Au  0.0000  0.0000  0.0000  3 Br 2.44-2.51, 1 I 2.70
Au  0.4595  0.8064  0.5128  3 Br 2.44-2.64, 1 I 2.64
I  0.1959  0.0350  0.1837  2 Br 2.67-2.85, 1 Au 2.70
I  0.6522  0.8515  0.6884  1 Au 2.64, 1 Br 2.92
Br  0.0738  0.3056  0.9724  1 Au 2.51
Br  0.2676  0.7281  0.3497  1 Au 2.64, 1 I 2.67
Br  0.4329  0.1186  0.3991  1 Au 2.47
Br  0.4877  0.4966  0.6195  1 Au 2.44
Br  0.8253  0.0669  0.8062  1 Au 2.50
Br  0.9466  0.6919  0.0673  1 Au 2.44

| no. | formation energy (no corrections) (eV/atom) |
| --- | --- |
| 1 | 0.103 |
| 2 | -0.052 |
| 3 | 0.086 |
| 4 | 0.054 |
| 5 | 0.695 |
| 6 | -0.063 |